DFT (PBE+U) results for an optimized crystal structure of SmFe2O4.

Unit cell a=8.6032 b=8.6032 c=8.6032 alpha=24.12 beta=24.12 gamma=24.12
Positions (direct):
Sm  0.0000  0.0000  0.0000
Fe  0.2116  0.2116  0.2116
Fe  0.7884  0.7884  0.7884
O  0.1280  0.1280  0.1280
O  0.2901  0.2901  0.2901
O  0.7099  0.7099  0.7099
O  0.8720  0.8720  0.8720

## Properties
SG: R-3m (166)
spin magnetization: 9.0 μB/f.u.
total energy: -50.23 eV for the cell shown